Entry 1:
# YMgGa (GGA-PBE, relaxed)
data_YMgGa
_chemical_formula_sum 'Y4 Mg4 Ga4'
_cell_length_a 6.941
_cell_length_b 6.941
_cell_length_c 6.941
_cell_angle_alpha 90.00
_cell_angle_beta 90.00
_cell_angle_gamma 90.00
_space_group_name_H-M_alt 'F -4 3 m'
_space_group_IT_number 216
_space_group_name_Hall 'F -4 2 3'
loop_
_atom_site_label
_atom_site_fract_x
_atom_site_fract_y
_atom_site_fract_z
Y1 0.000 0.000 0.000
Mg1 0.250 0.250 0.750
Ga1 0.250 0.250 0.250
# ΔH_f (0 K): 232 meV per atom
# Crystal system: cubic

---

Entry 2:
# YMgGa (GGA-PBE, relaxed)
data_YMgGa
_chemical_formula_sum 'Y2 Mg2 Ga2'
_cell_length_a 4.315
_cell_length_b 4.315
_cell_length_c 7.491
_cell_angle_alpha 90.00
_cell_angle_beta 90.00
_cell_angle_gamma 90.00
_space_group_name_H-M_alt 'P 4/n m m'
_space_group_IT_number 129
loop_
_space_group_symop_operation_xyz
'x,y,z'
'-x,-y,-z'
'-y+1/2,x,z'
'y+1/2,-x,-z'
'-x+1/2,-y+1/2,z'
'x+1/2,y+1/2,-z'
'y,-x+1/2,z'
'-y,x+1/2,-z'
'x+1/2,-y,-z'
'-x+1/2,y,z'
'-y,-x,-z'
'y,x,z'
'-x,y+1/2,-z'
'x,-y+1/2,z'
'y+1/2,x+1/2,-z'
'-y+1/2,-x+1/2,z'
loop_
_atom_site_label
_atom_site_fract_x
_atom_site_fract_y
_atom_site_fract_z
Y1 0.250 0.250 0.154
Mg1 0.250 0.750 0.500
Ga1 0.250 0.250 0.753
# ΔH_f (0 K): -410 meV per atom
# Crystal system: tetragonal